# 1
{"formula": "Rb3PaS6", "functional": "PBE", "state": "optimized geometry", "raw_formation_energy_kj_per_mol_atoms": -71.7, "lattice_angstrom": [[8.190, 0.000, 0.000], [4.095, 7.092, 0.000], [4.095, 2.364, 6.687]], "species": ["S", "Pa", "S", "S", "S", "Rb", "S", "Rb", "Rb", "S"], "fractional_positions": [[0.224, 0.224, 0.776], [0.000, 0.000, 0.000], [0.776, 0.224, 0.224], [0.776, 0.776, 0.224], [0.776, 0.224, 0.776], [0.250, 0.250, 0.250], [0.224, 0.776, 0.224], [0.750, 0.750, 0.750], [0.500, 0.500, 0.500], [0.224, 0.776, 0.776]]}



# 2
{"formula": "DyY6Ho5", "functional": "PBE", "state": "optimized geometry", "delta_e_f_ev_per_fu": 0.276, "lattice_angstrom": [[-4.032, 3.229, -10.571], [1.425, -5.013, -3.264], [-4.032, -4.614, -0.467]], "species": ["Y", "Y", "Y", "Ho", "Ho", "Y", "Y", "Y", "Ho", "Ho", "Ho", "Dy"], "fractional_positions": [[0.750, 0.416, 0.667], [0.250, 0.251, 0.000], [0.750, 0.083, 0.333], [0.000, 0.667, 0.667], [0.500, 0.167, 0.667], [0.750, 0.749, 0.000], [0.250, 0.584, 0.333], [0.250, 0.917, 0.667], [0.500, 0.500, 0.000], [0.000, 0.333, 0.333], [0.500, 0.833, 0.333], [0.000, 0.000, 0.000]]}



# 3
{"formula": "La2HgRu", "functional": "PBE", "state": "optimized geometry", "delta_e_f_ev_per_fu": -1.368, "lattice_angstrom": [[3.570, 0.000, 0.000], [0.000, 7.444, 0.000], [0.000, 0.000, 7.845]], "species": ["Hg", "La", "La", "Ru", "Ru", "La", "La", "Hg"], "fractional_positions": [[0.000, 0.750, 0.515], [0.500, 0.992, 0.218], [0.500, 0.008, 0.782], [0.000, 0.750, 0.955], [0.000, 0.250, 0.045], [0.500, 0.492, 0.782], [0.500, 0.508, 0.218], [0.000, 0.250, 0.485]]}



# 4
{"formula": "KMn2Fe", "functional": "PBE", "state": "optimized geometry", "delta_e_f_ev_per_fu": 3.288, "de_polymorph_kj_per_mol_fu": 48, "lattice_angstrom": [[-0.583, -3.427, 2.257], [-1.393, -3.887, -0.354], [6.687, -2.855, -1.571]], "species": ["Mn", "Fe", "Mn", "K"], "fractional_positions": [[0.480, 0.480, 0.607], [0.750, 0.750, 0.750], [0.020, 0.020, 0.893], [0.250, 0.250, 0.250]]}



# 5
{"formula": "MgTl2In", "functional": "PBE", "state": "optimized geometry", "delta_e_f_ev_per_fu": -0.096, "lattice_angstrom": [[-2.447, -2.174, -0.804], [2.146, -2.565, 0.421], [-2.510, -0.587, 9.227]], "species": ["Mg", "Tl", "Tl", "In"], "fractional_positions": [[0.500, 0.500, 0.742], [0.500, 0.500, 0.258], [0.000, 0.000, 0.974], [0.000, 0.000, 0.525]]}



# 6
{"formula": "Li4HfMg5", "functional": "PBE", "state": "optimized geometry", "delta_e_f_ev_per_fu": -0.011, "lattice_angstrom": [[3.108, 0.000, 0.000], [0.000, 3.108, 0.000], [0.000, 0.000, 21.596]], "species": ["Hf", "Li", "Mg", "Li", "Li", "Li", "Mg", "Mg", "Mg", "Mg"], "fractional_positions": [[0.000, 0.000, 0.000], [0.000, 0.000, 0.205], [0.500, 0.500, 0.698], [0.000, 0.000, 0.795], [0.000, 0.000, 0.401], [0.000, 0.000, 0.599], [0.500, 0.500, 0.894], [0.500, 0.500, 0.302], [0.500, 0.500, 0.500], [0.500, 0.500, 0.106]]}



# 7
{"formula": "DyNiGeRh", "functional": "PBE", "state": "optimized geometry", "delta_e_f_ev_per_fu": -1.630, "lattice_angstrom": [[-2.539, -2.529, 2.479], [1.294, -2.999, -1.735], [2.706, 1.160, 3.955]], "species": ["Ni", "Ge", "Rh", "Dy"], "fractional_positions": [[0.000, 0.928, 0.855], [0.000, 0.606, 0.211], [0.500, 0.486, 0.972], [0.500, 0.209, 0.417]]}



# 8
{"formula": "TiBr2", "functional": "PBE", "state": "optimized geometry", "raw_formation_energy_kj_per_mol_atoms": -100.3, "lattice_angstrom": [[3.735, 0.000, 0.000], [-1.867, 3.234, 0.000], [0.000, 0.000, 7.091]], "species": ["Br", "Ti", "Br"], "fractional_positions": [[0.333, 0.667, 0.225], [0.000, 0.000, 0.000], [0.667, 0.333, 0.775]]}



# 9
{"formula": "Mg2TiAl", "functional": "PBE", "state": "optimized geometry", "delta_e_f_ev_per_fu": 1.172, "lattice_angstrom": [[2.945, 0.000, 0.000], [1.472, 2.550, 0.000], [1.472, 0.850, 10.553]], "species": ["Ti", "Mg", "Al", "Mg"], "fractional_positions": [[0.000, 0.000, 0.000], [0.090, 0.090, 0.729], [0.500, 0.500, 0.500], [0.910, 0.910, 0.271]]}



# 10
{"formula": "PmSmThN3", "functional": "PBE", "state": "optimized geometry", "raw_formation_energy_kj_per_mol_atoms": -130.7, "lattice_angstrom": [[-2.285, -0.862, 2.555], [-2.838, -3.932, -3.865], [6.233, -6.233, 3.473]], "species": ["Pm", "Pm", "N", "N", "N", "Sm", "N", "Sm", "N", "Th", "N", "Th"], "fractional_positions": [[0.250, 0.291, 0.276], [0.750, 0.709, 0.724], [0.250, 0.976, 0.852], [0.750, 0.217, 0.466], [0.750, 0.024, 0.148], [0.250, 0.180, 0.622], [0.750, 0.528, 0.160], [0.750, 0.820, 0.378], [0.250, 0.783, 0.534], [0.250, 0.759, 0.054], [0.250, 0.472, 0.840], [0.750, 0.241, 0.946]]}



# 11
{"formula": "Pr2DyRu", "functional": "PBE", "state": "optimized geometry", "delta_e_f_ev_per_fu": -0.723, "de_polymorph_kj_per_mol_fu": 10, "lattice_angstrom": [[-2.879, -1.265, 2.548], [-0.444, -3.416, -5.411], [5.955, -6.398, 3.551]], "species": ["Dy", "Pr", "Pr", "Ru", "Pr", "Pr", "Ru", "Dy"], "fractional_positions": [[0.083, 0.166, 0.750], [0.359, 0.719, 0.569], [0.641, 0.281, 0.069], [0.261, 0.521, 0.250], [0.359, 0.719, 0.931], [0.641, 0.281, 0.431], [0.739, 0.479, 0.750], [0.917, 0.834, 0.250]]}



# 12
{"formula": "CsRbZnCd2", "functional": "PBE", "state": "optimized geometry", "delta_e_f_ev_per_fu": 0.591, "de_polymorph_kj_per_mol_fu": 0, "lattice_angstrom": [[5.726, 0.000, 0.000], [0.000, 5.726, 0.000], [0.000, 0.000, 6.332]], "species": ["Cs", "Rb", "Zn", "Cd", "Cd"], "fractional_positions": [[0.500, 0.500, 0.500], [0.000, 0.000, 0.500], [0.000, 0.000, 0.000], [0.500, 0.000, 0.000], [0.000, 0.500, 0.000]]}



# 13
{"formula": "NaCrAs2Br", "functional": "PBE", "state": "optimized geometry", "de_polymorph_kj_per_mol_fu": 536, "raw_formation_energy_kj_per_mol_atoms": 90.8, "lattice_angstrom": [[5.092, 0.000, 0.000], [0.000, 5.092, 0.000], [0.000, 0.000, 5.271]], "species": ["As", "Br", "As", "Na", "Cr"], "fractional_positions": [[0.500, 0.000, 0.000], [0.000, 0.000, 0.500], [0.000, 0.500, 0.000], [0.000, 0.000, 0.000], [0.500, 0.500, 0.500]]}



# 14
{"formula": "AcTlTePd", "functional": "PBE", "state": "optimized geometry", "raw_formation_energy_kj_per_mol_atoms": -39.6, "lattice_angstrom": [[-3.642, -2.256, 3.291], [1.471, -1.654, 4.928], [-1.715, 2.674, 4.370]], "species": ["Tl", "Ac", "Te", "Pd"], "fractional_positions": [[0.250, 0.250, 0.250], [0.500, 0.500, 0.500], [0.000, 0.000, 0.000], [0.750, 0.750, 0.750]]}



# 15
{"formula": "LiCaH6Pt", "functional": "PBE", "state": "optimized geometry", "energy_ev_per_atom": -3.713, "lattice_angstrom": [[4.731, 0.000, 0.000], [2.366, 4.097, 0.000], [0.000, 0.000, 4.508]], "species": ["H", "Pt", "Li", "H", "H", "H", "Ca", "H", "H"], "fractional_positions": [[0.573, 0.394, 0.738], [0.333, 0.333, 0.500], [0.667, 0.667, 0.500], [0.395, 0.573, 0.262], [0.032, 0.573, 0.738], [0.032, 0.395, 0.262], [0.000, 0.000, 0.000], [0.573, 0.032, 0.262], [0.394, 0.032, 0.738]]}



# 16
{"formula": "La5TbNd2Y", "functional": "PBE", "state": "optimized geometry", "delta_e_f_ev_per_fu": 2.387, "lattice_angstrom": [[-6.438, 3.627, 4.757], [1.899, -5.387, 6.678], [7.708, 6.557, -2.685]], "species": ["La", "Nd", "La", "Nd", "La", "La", "La", "La", "Y", "Nd", "Tb", "La", "La", "Tb", "Y", "La", "Nd", "La"], "fractional_positions": [[0.638, 0.138, 0.713], [0.379, 0.879, 0.000], [0.138, 0.075, 0.713], [0.121, 0.379, 0.000], [0.000, 0.000, 0.000], [0.425, 0.362, 0.287], [0.500, 0.500, 0.000], [0.362, 0.862, 0.287], [0.750, 0.250, 0.500], [0.621, 0.121, 0.000], [0.750, 0.750, 0.500], [0.575, 0.638, 0.713], [0.925, 0.425, 0.287], [0.250, 0.250, 0.500], [0.250, 0.750, 0.500], [0.862, 0.925, 0.287], [0.879, 0.621, 0.000], [0.075, 0.575, 0.713]]}



# 17
{"formula": "AcAl2GaPt4", "functional": "PBE", "state": "optimized geometry", "delta_e_f_ev_per_fu": -7.735, "lattice_angstrom": [[-1.360, 0.608, 4.064], [-2.430, -3.010, 1.943], [6.361, -4.911, 5.168]], "species": ["Ac", "Ga", "Pt", "Pt", "Pt", "Al", "Al", "Pt"], "fractional_positions": [[0.000, 0.000, 0.000], [0.500, 0.500, 0.500], [0.407, 0.407, 0.778], [0.137, 0.137, 0.590], [0.863, 0.863, 0.410], [0.763, 0.763, 0.711], [0.237, 0.237, 0.289], [0.593, 0.593, 0.222]]}



# 18
{"formula": "KMgCd", "functional": "PBE", "state": "optimized geometry", "delta_e_f_ev_per_fu": 0.110, "de_polymorph_kj_per_mol_fu": 17, "lattice_angstrom": [[-2.875, 5.156, -3.815], [-5.250, 4.622, -0.687], [1.295, 3.403, 1.565]], "species": ["Mg", "Cd", "K"], "fractional_positions": [[0.622, 0.622, 0.378], [0.040, 0.040, 0.960], [0.338, 0.338, 0.662]]}



# 19
{"formula": "Rb2LaSeCl6", "functional": "PBE", "state": "optimized geometry", "raw_formation_energy_kj_per_mol_atoms": -148.2, "lattice_angstrom": [[-4.545, 6.160, 0.374], [-3.239, -2.777, 6.367], [0.539, 4.743, 6.956]], "species": ["Cl", "Cl", "La", "Se", "Cl", "Rb", "Rb", "Cl", "Cl", "Cl"], "fractional_positions": [[0.786, 0.786, 0.427], [0.745, 0.255, 0.000], [0.000, 0.000, 0.000], [0.500, 0.500, 0.000], [0.255, 0.255, 0.000], [0.750, 0.250, 0.500], [0.250, 0.750, 0.500], [0.214, 0.214, 0.573], [0.255, 0.745, 0.000], [0.745, 0.745, 0.000]]}



# 20
{"formula": "MgBiAu6", "functional": "PBE", "state": "optimized geometry", "delta_e_f_ev_per_fu": -1.303, "lattice_angstrom": [[-0.659, 4.209, 0.166], [-2.734, -0.556, 3.224], [6.437, 0.787, 5.594]], "species": ["Au", "Au", "Au", "Au", "Au", "Bi", "Mg", "Au"], "fractional_positions": [[0.500, 0.000, 0.269], [0.000, 0.500, 0.269], [0.000, 0.500, 0.731], [0.500, 0.000, 0.731], [0.500, 0.500, 0.500], [0.000, 0.000, 0.000], [0.000, 0.000, 0.500], [0.500, 0.500, 0.000]]}



# 21
{"formula": "ZrCl", "functional": "PBE", "state": "optimized geometry", "raw_formation_energy_kj_per_mol_atoms": -88.5, "lattice_angstrom": [[-8.374, -4.145, -3.035], [7.566, -5.641, 2.728], [-1.142, -0.005, 3.158]], "species": ["Cl", "Zr", "Cl", "Zr", "Zr", "Cl", "Zr", "Zr", "Cl", "Zr", "Cl", "Cl"], "fractional_positions": [[0.048, 0.324, 0.750], [0.507, 0.134, 0.250], [0.324, 0.277, 0.250], [0.134, 0.627, 0.750], [0.373, 0.507, 0.750], [0.676, 0.723, 0.750], [0.493, 0.866, 0.750], [0.627, 0.493, 0.250], [0.723, 0.048, 0.250], [0.866, 0.373, 0.250], [0.277, 0.952, 0.750], [0.952, 0.676, 0.250]]}



# 22
{"formula": "KSiI3", "functional": "PBE", "state": "optimized geometry", "de_polymorph_kj_per_mol_fu": 501, "raw_formation_energy_kj_per_mol_atoms": 43.4, "lattice_angstrom": [[6.313, 0.000, 0.000], [0.000, 6.313, 0.000], [0.000, 0.000, 6.313]], "species": ["I", "I", "K", "Si", "I"], "fractional_positions": [[0.000, 0.500, 0.000], [0.000, 0.000, 0.500], [0.000, 0.000, 0.000], [0.500, 0.500, 0.500], [0.500, 0.000, 0.000]]}



# 23
{"formula": "Tb3Pm2Cd7", "functional": "PBE", "state": "optimized geometry", "delta_e_f_ev_per_fu": -1.925, "lattice_angstrom": [[5.307, 0.000, 0.000], [0.000, 5.136, 0.000], [0.000, -2.568, 12.225]], "species": ["Pm", "Cd", "Cd", "Tb", "Tb", "Cd", "Cd", "Cd", "Tb", "Cd", "Cd", "Pm"], "fractional_positions": [[0.000, 0.856, 0.713], [0.000, 0.430, 0.859], [0.000, 0.273, 0.547], [0.500, 0.500, 0.000], [0.500, 0.663, 0.326], [0.500, 0.075, 0.150], [0.500, 0.925, 0.850], [0.000, 0.570, 0.141], [0.500, 0.337, 0.674], [0.000, 0.727, 0.453], [0.000, 0.000, 0.000], [0.000, 0.144, 0.287]]}



# 24
{"formula": "YZrBe2W", "functional": "PBE", "state": "optimized geometry", "delta_e_f_ev_per_fu": 9.408, "lattice_angstrom": [[-0.463, 4.475, -0.807], [-0.594, -0.924, -4.783], [-4.513, -0.353, 0.629]], "species": ["Zr", "Y", "Be", "W", "Be"], "fractional_positions": [[0.500, 0.500, 0.500], [0.000, 0.000, 0.000], [0.500, 0.000, 0.000], [0.000, 0.500, 0.000], [0.000, 0.000, 0.500]]}



# 25
{"formula": "AsP2Ir", "functional": "PBE", "state": "optimized geometry", "delta_e_f_ev_per_fu": 0.235, "lattice_angstrom": [[-1.172, -0.155, -3.297], [-2.818, -1.938, -0.757], [-4.916, 4.057, -0.338]], "species": ["Ir", "As", "P", "P"], "fractional_positions": [[0.750, 0.750, 0.750], [0.250, 0.250, 0.250], [0.493, 0.493, 0.523], [0.007, 0.007, 0.977]]}



Magnetization: 0.26, 0.00, 0.00, 2.02, 0.00, 0.04, 0.00, 0.67, 0.00, 0.00, 0.00, 0.00, 0.61, 0.00, 0.00, 0.00, 0.00, 0.00, 0.10, 0.00, 0.00, 0.00, 0.00, 0.11, 0.00 (μB per atom)